Here is a relaxed structure of Co2AgMo from Alexandria. Energies are from PBE-GGA.

The energy above the most stable polymorph in this dataset is 0.0477 eV/atom.

The structure belongs to space group Cmmm (No. 65); the cell edges are 3.1590, 4.2620 and 8.3724 Å and the angles 90.00°, 90.00° and 90.00°. The asymmetric unit holds Co at (0.0000, 0.0000, 0.2358), Ag at (0.0000, 0.5000, 0.5000) and Mo at (0.0000, 0.5000, 0.0000).

Here is a relaxed structure of Si2MoP from Alexandria. Energies are from PBE-GGA.

The formation energy (no corrections) comes out at 29 meV per atom.

The structure belongs to space group Cm (No. 8); the cell edges are 8.5472, 3.0615 and 4.3448 Å and the angles 90.00°, 93.75° and 90.00°. The asymmetric unit holds Si at (0.0000, 0.0000, 0.0000), Si at (0.2421, 0.0000, 0.7597), Mo at (0.4981, 0.0000, 0.5005) and P at (0.2759, 0.5000, 0.2939).

Here is a relaxed structure of HfGe2Os from Alexandria. Energies are from PBE-GGA.

Its total DFT energy (no corrections) is -7.53 eV/atom.

The structure belongs to space group I-42d (No. 122); the cell edges are 3.9535, 3.9535 and 18.6615 Å and the angles 90.00°, 90.00° and 90.00°. The asymmetric unit holds Hf at (0.0000, 0.0000, 0.0000), Ge at (0.2186, 0.2500, 0.6250) and Os at (0.0000, 0.0000, 0.5000).

Here is a relaxed structure of Ba2CuIO2 from Alexandria. Energies are from PBE-GGA.

The formation energy (no corrections) comes out at -1927 meV per atom.

The structure belongs to space group P2_1/m (No. 11); the cell edges are 11.2059, 4.4401 and 14.2765 Å and the angles 90.00°, 91.55° and 90.00°. The asymmetric unit holds Ba at (0.0823, 0.2500, 0.4055), Ba at (0.1997, 0.2500, 0.8917), Ba at (0.3333, 0.7500, 0.1402), Ba at (0.4091, 0.7500, 0.6794), Cu at (0.1658, 0.2500, 0.6527), Cu at (0.4297, 0.7500, 0.9065), I at (0.0669, 0.2500, 0.1450), I at (0.3486, 0.7500, 0.4109), O at (0.0316, 0.2500, 0.5805), O at (0.2867, 0.7500, 0.9637), O at (0.2999, 0.2500, 0.7267) and O at (0.4462, 0.2500, 0.1730).

Here is a relaxed structure of Tb11Dy9Th4 from Alexandria. Energies are from PBE-GGA.

Its total DFT energy (no corrections) is -4.98 eV/atom.

The structure belongs to space group Cmmm (No. 65); the cell edges are 16.8099, 25.2742 and 3.6909 Å and the angles 90.00°, 90.00° and 90.00°. The asymmetric unit holds Tb at (0.0000, 0.0000, 0.0000), Tb at (0.0000, 0.1585, 0.0000), Tb at (0.0000, 0.3648, 0.0000), Tb at (0.2129, 0.5000, 0.0000), Tb at (0.2269, 0.1812, 0.0000), Dy at (0.0000, 0.5000, 0.5000), Dy at (0.1013, 0.2637, 0.5000), Dy at (0.1387, 0.0729, 0.5000) and Th at (0.1556, 0.3989, 0.5000).

Here is a relaxed structure of BaBiRu2O from Alexandria. Energies are from PBE-GGA.

The formation energy (no corrections) comes out at 649 meV per atom.

The structure belongs to space group P4/mmm (No. 123); the cell edges are 5.1361, 5.1361 and 4.7350 Å and the angles 90.00°, 90.00° and 90.00°. The asymmetric unit holds Ba at (0.0000, 0.0000, 0.0000), Bi at (0.5000, 0.5000, 0.5000), Ru at (0.0000, 0.5000, 0.5000) and O at (0.5000, 0.5000, 0.0000).

Here is a relaxed structure of LiCa2Te2 from Alexandria. Energies are from PBE-GGA.

The formation energy (no corrections) comes out at -1166 meV per atom. The energy above the most stable polymorph in this dataset is 0.0000 eV/atom.

The structure belongs to space group P4/mbm (No. 127); the cell edges are 8.3166, 8.3166 and 4.2314 Å and the angles 90.00°, 90.00° and 90.00°. The asymmetric unit holds Li at (0.0000, 0.0000, 0.0000), Ca at (0.1501, 0.3499, 0.5000) and Te at (0.1592, 0.6592, 0.0000).

Here is a relaxed structure of NaLiZnSn from Alexandria. Energies are from PBE-GGA.

Its total DFT energy (no corrections) is -2.32 eV/atom.

The structure belongs to space group F-43m (No. 216); the cell edges are 6.7992, 6.7992 and 6.7992 Å and the angles 90.00°, 90.00° and 90.00°. The asymmetric unit holds Na at (0.0000, 0.0000, 0.0000), Li at (0.2500, 0.2500, 0.7500), Zn at (0.2500, 0.2500, 0.2500) and Sn at (0.0000, 0.0000, 0.5000).

Here is a relaxed structure of NpPa2N4 from Alexandria. Energies are from PBE-GGA.

The formation energy (no corrections) comes out at -1321 meV per atom. The energy above the most stable polymorph in this dataset is 0.0000 eV/atom.

The structure belongs to space group Fd-3m (No. 227, origin choice 2); the cell edges are 9.8858, 9.8858 and 9.8858 Å and the angles 90.00°, 90.00° and 90.00°. The asymmetric unit holds Np at (0.1250, 0.1250, 0.1250), Pa at (0.0000, 0.0000, 0.5000) and N at (0.0150, 0.0150, 0.7350).

Here is a relaxed structure of Ac14LaTb from Alexandria. Energies are from PBE-GGA.

Its total DFT energy (no corrections) is -4.17 eV/atom.

The structure belongs to space group Amm2 (No. 38); the cell edges are 11.2565, 11.1688 and 11.1680 Å and the angles 90.00°, 90.00° and 90.00°. The asymmetric unit holds Ac at (0.0000, 0.0000, 0.0000), Ac at (0.0000, 0.0000, 0.4994), Ac at (0.0000, 0.2492, 0.2498), Ac at (0.2544, 0.0000, 0.7507), Ac at (0.2555, 0.2490, 0.9997), Ac at (0.2567, 0.0000, 0.2487), Ac at (0.5000, 0.2490, 0.7497), La at (0.5000, 0.0000, 0.5001) and Tb at (0.5000, 0.0000, 0.9994).

Here is a relaxed structure of Ta3Co from Alexandria. Energies are from PBE-GGA.

Its total DFT energy (no corrections) is -10.61 eV/atom.

The structure belongs to space group R-3m (No. 166, hexagonal axes); the cell edges are 8.9625, 8.9625 and 2.8274 Å and the angles 90.00°, 90.00° and 120.00°. The asymmetric unit holds Ta at (0.0000, 0.5000, 0.0000) and Co at (0.0000, 0.0000, 0.0000).

Here is a relaxed structure of Pm2ErAl12Co3 from Alexandria. Energies are from PBE-GGA.

Its total DFT energy (no corrections) is -4.45 eV/atom.

The structure belongs to space group R-3m (No. 166, hexagonal axes); the cell edges are 8.4042, 8.4042 and 18.7071 Å and the angles 90.00°, 90.00° and 120.00°. The asymmetric unit holds Pm at (0.0000, 0.0000, 0.0849), Er at (0.0000, 0.0000, 0.5000), Al at (0.0795, 0.5398, 0.3180), Al at (0.0877, 0.5438, 0.8827) and Co at (0.0000, 0.5000, 0.0000).

Here is a relaxed structure of Ba6SiAu2I3 from Alexandria. Energies are from PBE-GGA.

The formation energy (no corrections) comes out at -993 meV per atom.

The structure belongs to space group C2/m (No. 12); the cell edges are 8.3513, 14.4784 and 9.1011 Å and the angles 90.00°, 107.94° and 90.00°. The asymmetric unit holds Ba at (0.2317, 0.1621, 0.2092), Ba at (0.2461, 0.5000, 0.2101), Si at (0.0000, 0.0000, 0.0000), Au at (0.0000, 0.3334, 0.0000), I at (0.0000, 0.1668, 0.5000) and I at (0.0000, 0.5000, 0.5000).

Here is a relaxed structure of Pm2PrSmTm2 from Alexandria. Energies are from PBE-GGA.

Its total DFT energy (no corrections) is -4.59 eV/atom.

The structure belongs to space group Pnnm (No. 58); the cell edges are 7.0278, 9.8863 and 5.7024 Å and the angles 90.00°, 90.00° and 90.00°. The asymmetric unit holds Pm at (0.2487, 0.1669, 0.0000), Pr at (0.0000, 0.5000, 0.0000), Sm at (0.0000, 0.0000, 0.5000) and Tm at (0.2497, 0.3336, 0.5000).

Here is a relaxed structure of Sr2CrHg from Alexandria. Energies are from PBE-GGA.

The energy above the most stable polymorph in this dataset is 0.0000 eV/atom.

The structure belongs to space group Pm (No. 6); the cell edges are 4.6099, 4.8384 and 6.5694 Å and the angles 90.00°, 110.46° and 90.00°. The asymmetric unit holds Sr at (0.0000, 0.0000, 0.0000), Sr at (0.2898, 0.5000, 0.5804), Cr at (0.5821, 0.5000, 0.1646) and Hg at (0.7098, 0.0000, 0.4206).

Here is a relaxed structure of MnAsC3 from Alexandria. Energies are from PBE-GGA.

The energy above the most stable polymorph in this dataset is 0.9093 eV/atom.

The structure belongs to space group Pm-3m (No. 221); the cell edges are 3.8526, 3.8526 and 3.8526 Å and the angles 90.00°, 90.00° and 90.00°. The asymmetric unit holds Mn at (0.0000, 0.0000, 0.0000), As at (0.5000, 0.5000, 0.5000) and C at (0.0000, 0.5000, 0.5000).

Here is a relaxed structure of ThGa3Pd from Alexandria. Energies are from PBE-GGA.

The energy above the most stable polymorph in this dataset is 0.1429 eV/atom.

The structure belongs to space group Pm (No. 6); the cell edges are 5.6733, 6.0154 and 6.0347 Å and the angles 90.00°, 94.18° and 90.00°. The asymmetric unit holds Th at (0.0000, 0.0000, 0.0000), Th at (0.3481, 0.5000, 0.4447), Ga at (0.0688, 0.5000, 0.8713), Ga at (0.4582, 0.0000, 0.2824), Ga at (0.4947, 0.2898, 0.9680), Ga at (0.8825, 0.2277, 0.5249), Pd at (0.5414, 0.0000, 0.6842) and Pd at (0.8320, 0.5000, 0.2051).

Here is a relaxed structure of GeAs4Pd from Alexandria. Energies are from PBE-GGA.

Its total DFT energy (no corrections) is -4.85 eV/atom.

The structure belongs to space group P2_1/c (No. 14); the cell edges are 6.1825, 6.2030 and 6.2288 Å and the angles 90.00°, 90.48° and 90.00°. The asymmetric unit holds Ge at (0.0000, 0.0000, 0.0000), As at (0.1228, 0.1090, 0.6095), As at (0.3957, 0.6204, 0.6185) and Pd at (0.5000, 0.0000, 0.5000).

Here is a relaxed structure of Tb3Ho2Te6 from Alexandria. Energies are from PBE-GGA.

The formation energy (no corrections) comes out at -1319 meV per atom.

The structure belongs to space group R-3m (No. 166, hexagonal axes); the cell edges are 4.3641, 4.3641 and 64.6467 Å and the angles 90.00°, 90.00° and 120.00°. The asymmetric unit holds Tb at (0.0000, 0.0000, 0.0000), Tb at (0.0000, 0.0000, 0.2789), Ho at (0.0000, 0.0000, 0.4471), Te at (0.0000, 0.0000, 0.0833), Te at (0.0000, 0.0000, 0.1950) and Te at (0.0000, 0.0000, 0.3608).

Here is a relaxed structure of Cs2AuSeI6 from Alexandria. Energies are from PBE-GGA.

The formation energy (no corrections) comes out at -649 meV per atom.

The structure belongs to space group I4/mmm (No. 139); the cell edges are 8.3517, 8.3517 and 12.0565 Å and the angles 90.00°, 90.00° and 90.00°. The asymmetric unit holds Cs at (0.0000, 0.5000, 0.2500), Au at (0.0000, 0.0000, 0.0000), Se at (0.0000, 0.0000, 0.5000), I at (0.0000, 0.0000, 0.2264) and I at (0.2436, 0.2436, 0.5000).

Here is a relaxed structure of MgPdS from Alexandria. Energies are from PBE-GGA.

The formation energy (no corrections) comes out at -685 meV per atom.

The structure belongs to space group Pmn2_1 (No. 31); the cell edges are 3.8086, 7.0936 and 3.7857 Å and the angles 90.00°, 90.00° and 90.00°. The asymmetric unit holds Mg at (0.0000, 0.1806, 0.0000), Pd at (0.0000, 0.5546, 0.3638) and S at (0.0000, 0.8160, 0.9744).

Here is a relaxed structure of TaBeCo from Alexandria. Energies are from PBE-GGA.

The energy above the most stable polymorph in this dataset is 0.1669 eV/atom.

The structure belongs to space group I4mm (No. 107); the cell edges are 2.8423, 2.8423 and 9.0106 Å and the angles 90.00°, 90.00° and 90.00°. The asymmetric unit holds Ta at (0.0000, 0.0000, 0.0000), Be at (0.0000, 0.0000, 0.6950) and Co at (0.0000, 0.0000, 0.3082).

Here is a relaxed structure of In2AsSe from Alexandria. Energies are from PBE-GGA.

The formation energy (no corrections) comes out at -201 meV per atom. The energy above the most stable polymorph in this dataset is 0.0887 eV/atom.

The structure belongs to space group R3m (No. 160, hexagonal axes); the cell edges are 4.0183, 4.0183 and 21.3850 Å and the angles 90.00°, 90.00° and 120.00°. The asymmetric unit holds In at (0.0000, 0.0000, 0.0000), In at (0.0000, 0.0000, 0.1783), As at (0.0000, 0.0000, 0.5898) and Se at (0.0000, 0.0000, 0.4150).

| no. | DOS at the Fermi energy (states/eV per atom) | calculated volume (Å³/atom) |
| --- | --- | --- |
| 1 | 1.403 | 14.1 |
| 2 | 0.466 | 14.2 |
| 3 | 0.676 | 18.2 |
| 4 | 0.000 | 29.6 |
| 5 | 1.454 | 32.7 |
| 6 | 1.249 | 25.0 |
| 7 | 0.277 | 29.3 |
| 8 | 0.175 | 19.6 |
| 9 | 1.331 | 17.3 |
| 10 | 1.925 | 43.9 |
| 11 | 0.996 | 16.4 |
| 12 | 0.567 | 21.2 |
| 13 | 0.835 | 43.6 |
| 14 | 1.563 | 33.0 |
| 15 | 0.736 | 34.3 |
| 16 | 1.230 | 11.4 |
| 17 | 0.525 | 20.5 |
| 18 | 0.154 | 19.9 |
| 19 | 0.448 | 32.3 |
| 20 | 0.421 | 42.0 |
| 21 | 0.000 | 17.0 |
| 22 | 0.840 | 12.1 |
| 23 | 0.549 | 24.9 |